Density functional theory data (PBE-GGA) for crystalline AcNd2 at its relaxed geometry.

a = 9.9181 Å, b = 9.9181 Å, c = 9.9181 Å
α = 60.00°, β = 60.00°, γ = 60.00°
Positions (direct):
Ac 0.1250 0.1250 0.1250
Ac 0.8750 0.8750 0.8750
Nd 0.0000 0.0000 0.0000
Nd 0.0000 0.0000 0.5000
Nd 0.0000 0.5000 0.0000
Nd 0.5000 0.0000 0.0000

Values from the calculation:
Volume = 115.0 Å³/atom
Crystal system = cubic
Size of the total moment = 7.71 μB/f.u.
Energy relative to the elements = 2.80 eV/atom

=====

Density functional theory data (PBE-GGA) for crystalline Pr2InSnPt4 at its relaxed geometry.

a = 4.6394 Å, b = 4.6394 Å, c = 9.3906 Å
α = 90.00°, β = 90.00°, γ = 120.00°
Positions (direct):
Pr 0.3333 0.6667 0.2501
Pr 0.6667 0.3333 0.7499
In 0.0000 0.0000 0.5000
Sn 0.0000 0.0000 0.0000
Pt 0.3333 0.6667 0.5859
Pt 0.3333 0.6667 0.9141
Pt 0.6667 0.3333 0.0859
Pt 0.6667 0.3333 0.4141

Values from the calculation:
Volume = 21.9 Å³/atom
E = -5.9732 eV/atom
Crystal system = trigonal
Size of the total moment = 0.01 μB/f.u.

=====

Density functional theory data (PBE-GGA) for crystalline Tb2Pr2Ni at its relaxed geometry.

a = 5.3471 Å, b = 5.3471 Å, c = 11.0369 Å
α = 90.00°, β = 90.00°, γ = 120.00°
Positions (direct):
Tb 0.3333 0.6667 0.0970
Tb 0.3333 0.6667 0.4030
Tb 0.6667 0.3333 0.5970
Tb 0.6667 0.3333 0.9030
Pr 0.0000 0.0000 0.0000
Pr 0.0000 0.0000 0.5000
Pr 0.3333 0.6667 0.7500
Pr 0.6667 0.3333 0.2500
Ni 0.0000 0.0000 0.2500
Ni 0.0000 0.0000 0.7500

Values from the calculation:
Volume = 27.3 Å³/atom
Crystal system = hexagonal
Size of the total moment = 0.02 μB/f.u.
Energy relative to the elements = 0.09 eV/atom

=====

Density functional theory data (PBE-GGA) for crystalline PrNiSnAsPd at its relaxed geometry.

a = 4.5306 Å, b = 4.5306 Å, c = 9.9469 Å
α = 90.00°, β = 90.00°, γ = 90.00°
Positions (direct):
Pr 0.2500 0.2500 0.2458
Pr 0.7500 0.7500 0.7542
Ni 0.2500 0.7500 0.5000
Ni 0.7500 0.2500 0.5000
Sn 0.2500 0.2500 0.6191
Sn 0.7500 0.7500 0.3809
As 0.2500 0.7500 0.0000
As 0.7500 0.2500 0.0000
Pd 0.2500 0.2500 0.8862
Pd 0.7500 0.7500 0.1138

Values from the calculation:
Distance to the lowest polymorph of the same formula = 124 meV/atom
Volume = 20.4 Å³/atom
Crystal system = tetragonal
Size of the total moment = 0.00 μB/f.u.

=====

Density functional theory data (PBE-GGA) for crystalline BiAsW at its relaxed geometry.

a = 6.5729 Å, b = 6.5729 Å, c = 6.5729 Å
α = 90.00°, β = 90.00°, γ = 90.00°
Positions (direct):
Bi 0.0000 0.0000 0.0000
Bi 0.0000 0.5000 0.5000
Bi 0.5000 0.0000 0.5000
Bi 0.5000 0.5000 0.0000
As 0.0000 0.0000 0.5000
As 0.0000 0.5000 0.0000
As 0.5000 0.0000 0.0000
As 0.5000 0.5000 0.5000
W 0.2500 0.2500 0.7500
W 0.2500 0.7500 0.2500
W 0.7500 0.2500 0.2500
W 0.7500 0.7500 0.7500

Values from the calculation:
Distance to the lowest polymorph of the same formula = 0 meV/atom
Volume = 23.7 Å³/atom
Crystal system = cubic
Size of the total moment = 1.60 μB/f.u.

=====

Density functional theory data (PBE-GGA) for crystalline ScTa2 at its relaxed geometry.

a = 5.5834 Å, b = 5.5834 Å, c = 5.5834 Å
α = 60.00°, β = 60.00°, γ = 60.00°
Positions (direct):
Sc 0.1250 0.1250 0.1250
Sc 0.8750 0.8750 0.8750
Ta 0.0000 0.5000 0.5000
Ta 0.5000 0.0000 0.5000
Ta 0.5000 0.5000 0.0000
Ta 0.5000 0.5000 0.5000

Values from the calculation:
Distance to the lowest polymorph of the same formula = 0 meV/atom
Volume = 20.5 Å³/atom
Crystal system = cubic
Size of the total moment = 0.20 μB/f.u.
Energy relative to the elements = 0.21 eV/atom

=====

Density functional theory data (PBE-GGA) for crystalline ZnH4C2N4Cl2 at its relaxed geometry.

a = 13.4667 Å, b = 7.3222 Å, c = 7.2919 Å
α = 90.00°, β = 90.00°, γ = 90.00°
Positions (direct):
Zn 0.0804 0.2375 0.0000
Zn 0.4196 0.2375 0.5000
Zn 0.5804 0.7625 0.0000
Zn 0.9196 0.7625 0.5000
H 0.0753 0.5214 0.3938
H 0.1947 0.7147 0.0270
H 0.2042 0.5036 0.3731
H 0.2469 0.9116 0.1267
H 0.2531 0.9116 0.6267
H 0.2958 0.5036 0.8731
H 0.3053 0.7147 0.5270
H 0.4247 0.5214 0.8938
H 0.5753 0.4786 0.3938
H 0.6947 0.2853 0.0270
H 0.7042 0.4964 0.3731
H 0.7469 0.0884 0.1267
H 0.7531 0.0884 0.6267
H 0.7958 0.4964 0.8731
H 0.8053 0.2853 0.5270
H 0.9247 0.4786 0.8938
C 0.0788 0.9478 0.6860
C 0.1541 0.7270 0.5143
C 0.3459 0.7270 0.0143
C 0.4212 0.9478 0.1860
C 0.5788 0.0522 0.6860
C 0.6541 0.2730 0.5143
C 0.8459 0.2730 0.0143
C 0.9212 0.0522 0.1860
N 0.0694 0.8156 0.5688
N 0.0835 0.0677 0.7922
N 0.1440 0.5792 0.4101
N 0.2432 0.7873 0.5640
N 0.2568 0.7873 0.0640
N 0.3560 0.5792 0.9101
N 0.4165 0.0677 0.2922
N 0.4306 0.8156 0.0688
N 0.5694 0.1844 0.5688
N 0.5835 0.9323 0.7922
N 0.6440 0.4208 0.4101
N 0.7432 0.2127 0.5640
N 0.7568 0.2127 0.0640
N 0.8560 0.4208 0.9101
N 0.9165 0.9323 0.2922
N 0.9306 0.1844 0.0688
Cl 0.0900 0.5269 0.9030
Cl 0.1693 0.1610 0.2448
Cl 0.3307 0.1610 0.7448
Cl 0.4100 0.5269 0.4029
Cl 0.5900 0.4731 0.9030
Cl 0.6693 0.8390 0.2448
Cl 0.8307 0.8390 0.7448
Cl 0.9100 0.4731 0.4029

Values from the calculation:
Volume = 13.8 Å³/atom
E = -5.7751 eV/atom
Crystal system = orthorhombic

=====

Density functional theory data (PBE-GGA) for crystalline LiAlPdPb at its relaxed geometry.

a = 6.5944 Å, b = 6.5944 Å, c = 6.5944 Å
α = 90.00°, β = 90.00°, γ = 90.00°
Positions (direct):
Li 0.0000 0.0000 0.0000
Li 0.0000 0.5000 0.5000
Li 0.5000 0.0000 0.5000
Li 0.5000 0.5000 0.0000
Al 0.2500 0.2500 0.7500
Al 0.2500 0.7500 0.2500
Al 0.7500 0.2500 0.2500
Al 0.7500 0.7500 0.7500
Pd 0.0000 0.0000 0.5000
Pd 0.0000 0.5000 0.0000
Pd 0.5000 0.0000 0.0000
Pd 0.5000 0.5000 0.5000
Pb 0.2500 0.2500 0.2500
Pb 0.2500 0.7500 0.7500
Pb 0.7500 0.2500 0.7500
Pb 0.7500 0.7500 0.2500

Values from the calculation:
Distance to the lowest polymorph of the same formula = 0 meV/atom
Volume = 17.9 Å³/atom
Crystal system = cubic